# GGA+U Mn2NiHgO, relaxed
data_Mn2NiHgO
_chemical_formula_sum 'Mn2 Ni1 Hg1 O1'
_symmetry_space_group_name_H-M 'P 4/m m m'
_symmetry_Int_Tables_number 123
_symmetry_space_group_name_Hall '-P 4 2'
_cell_length_a 5.183
_cell_length_b 5.183
_cell_length_c 4.661
_cell_angle_alpha 90.00
_cell_angle_beta 90.00
_cell_angle_gamma 90.00
loop_
_atom_site_label
_atom_site_fract_x
_atom_site_fract_y
_atom_site_fract_z
_atom_site_occupancy
Mn1 0.000 0.500 0.000 1
Ni1 0.000 0.000 0.500 1
Hg1 0.000 0.000 0.000 1
O1 0.500 0.500 0.500 1
# * M_tot: 8.95 μB/cell
# * Fermi-level density of states: 5.4 states/eV per cell
# * DFT total energy: -3.053 eV per atom